Here is a geometry-optimized RbCaTl6 structure from Alexandria. Energies are from GGA-PBE.

Crystal system: orthorhombic
Formation energy from the elements in eV per formula unit: -0.91
DOS at the Fermi energy in states/eV/f.u.: 4.65

a = 5.533 Å, b = 6.242 Å, c = 7.558 Å
α = 90.00°, β = 90.00°, γ = 90.00°
Fractional coordinates of all 8 atoms:
Rb  0.000  0.661  0.000
Ca  0.500  0.362  0.500
Tl  0.500  0.845  0.275
Tl  0.000  0.168  0.723
Tl  0.000  0.168  0.277
Tl  0.500  0.845  0.725
Tl  0.000  0.687  0.500
Tl  0.500  0.266  0.000

Here is a geometry-optimized RbCa2Tl2 structure from Alexandria. Energies are from GGA-PBE.

Crystal system: tetragonal
Formation energy from the elements in eV per formula unit: -0.63
DOS at the Fermi energy in states/eV/f.u.: 3.27

a = 5.733 Å, b = 5.733 Å, c = 7.299 Å
α = 66.87°, β = 66.87°, γ = 90.00°
Fractional coordinates of all 5 atoms:
Tl  0.382  0.382  0.236
Tl  0.618  0.618  0.764
Ca  0.750  0.250  0.500
Ca  0.250  0.750  0.500
Rb  0.000  0.000  0.000

Here is a geometry-optimized Rb2CaTl2 structure from Alexandria. Energies are from GGA-PBE.

Crystal system: tetragonal
Formation energy from the elements in eV per formula unit: 0.50
DOS at the Fermi energy in states/eV/f.u.: 3.88

a = 4.963 Å, b = 4.963 Å, c = 9.330 Å
α = 74.57°, β = 74.57°, γ = 90.00°
Fractional coordinates of all 5 atoms:
Tl  0.412  0.412  0.177
Tl  0.588  0.588  0.823
Ca  0.000  0.000  0.000
Rb  0.750  0.250  0.500
Rb  0.250  0.750  0.500

Among the records above, which one has the highest DOS at the Fermi energy? RbCaTl6

What is the DOS at the Fermi energy in the third record? 3.88 states/eV/f.u.

What is the DOS at the Fermi energy in the third record? 3.88 states/eV/f.u.